# ReSe2BrO PBE-GGA relaxed
data_ReSe2BrO
_chemical_formula_sum 'Re1 Se2 Br1 O1'
_symmetry_space_group_name_H-M 'P 4/m m m'
_symmetry_Int_Tables_number 123
_symmetry_space_group_name_Hall '-P 4 2'
_cell_length_a 4.1365
_cell_length_b 4.1365
_cell_length_c 5.9401
_cell_angle_alpha 90.00
_cell_angle_beta 90.00
_cell_angle_gamma 90.00
loop_
_atom_site_label
_atom_site_type_symbol
_atom_site_fract_x
_atom_site_fract_y
_atom_site_fract_z
Re1 Re 0.0000 0.0000 0.0000
Se1 Se 0.0000 0.5000 0.5000
Br1 Br 0.5000 0.5000 0.0000
O1 O 0.5000 0.5000 0.5000
# offset from the most stable computed form: 258 meV per atom
# formation energy (no corrections): 1155.1 meV/atom
# spin magnetization: 0.872 μB/atom